# 1
Here is Ni2SbAu after structural relaxation from Alexandria. Energies are from PBE.

a = 3.2702 Å, b = 3.2942 Å, c = 5.7214 Å
α = 90.00°, β = 90.00°, γ = 90.00°
Element x y z (fractional)
Ni (0.0000, 0.0000, 0.2388)
Ni (0.0000, 0.0000, 0.7612)
Sb (0.5000, 0.5000, 0.0000)
Au (0.5000, 0.5000, 0.5000)

DOS(E_F), states/eV/cell: 2.99
Total magnetic moment, μB per cell: 0.0
Formation energy (no corrections), kJ/mol of atoms: 2
Theoretical density, g/cm3: 11.7

---

# 2
Here is NiSbAu2 after structural relaxation from Alexandria. Energies are from PBE.

a = 7.0616 Å, b = 7.0616 Å, c = 7.0616 Å
α = 29.99°, β = 29.99°, γ = 29.99°
Element x y z (fractional)
Ni (0.0000, 0.0000, 0.0000)
Sb (0.2629, 0.2629, 0.2629)
Au (0.4981, 0.4981, 0.4981)
Au (0.7400, 0.7400, 0.7400)

DOS(E_F), states/eV/cell: 1.64
Total magnetic moment, μB per cell: 0.0
Formation energy (no corrections), kJ/mol of atoms: 9
Theoretical density, g/cm3: 12.2

---

# 3
Here is ScNiSb2Au after structural relaxation from Alexandria. Energies are from PBE.

a = 4.9046 Å, b = 4.9046 Å, c = 4.8323 Å
α = 90.00°, β = 90.00°, γ = 90.00°
Element x y z (fractional)
Sc (0.0000, 0.0000, 0.0000)
Ni (0.5000, 0.5000, 0.5000)
Sb (0.0000, 0.5000, 0.5000)
Sb (0.5000, 0.0000, 0.5000)
Au (0.5000, 0.5000, 0.0000)

DOS(E_F), states/eV/cell: 3.88
Total magnetic moment, μB per cell: 0.0
Formation energy (no corrections), kJ/mol of atoms: 2
Theoretical density, g/cm3: 7.8

---

# 4
Here is Sm2Ni4Sb3Au after structural relaxation from Alexandria. Energies are from PBE.

a = 4.3791 Å, b = 4.3791 Å, c = 10.0879 Å
α = 90.00°, β = 90.00°, γ = 90.00°
Element x y z (fractional)
Sm (0.0000, 0.5000, 0.2436)
Sm (0.5000, 0.0000, 0.7564)
Ni (0.0000, 0.0000, 0.0000)
Ni (0.0000, 0.5000, 0.6269)
Ni (0.5000, 0.0000, 0.3731)
Ni (0.5000, 0.5000, 0.0000)
Sb (0.0000, 0.5000, 0.8699)
Sb (0.5000, 0.0000, 0.1301)
Sb (0.5000, 0.5000, 0.5000)
Au (0.0000, 0.0000, 0.5000)

DOS(E_F), states/eV/cell: 5.82
Total magnetic moment, μB per cell: 0.0
Formation energy (no corrections), kJ/mol of atoms: -58
Theoretical density, g/cm3: 9.4